# 1
Entry from the Alexandria database: a relaxed MnBeOsW2 crystal (PBE-GGA).

Properties
The space group is P4/mmm (123). Its size of the total moment is 0.00 μB/atom. Its calculated total energy is -8.34 eV per atom. Its energy relative to the elements is 1.6662 eV/atom.

Geometry as CIF:
```
data_MnBeOsW2
_chemical_formula_sum 'Mn1 Be1 Os1 W2'
_cell_length_a 4.422
_cell_length_b 4.422
_cell_length_c 4.423
_cell_angle_alpha 90.00
_cell_angle_beta 90.00
_cell_angle_gamma 90.00
_space_group_name_H-M_alt 'P 1'
_space_group_IT_number 1
loop_
_space_group_symop_operation_xyz
'x,y,z'
loop_
_atom_site_label
_atom_site_type_symbol
_atom_site_fract_x
_atom_site_fract_y
_atom_site_fract_z
_atom_site_occupancy
Mn1 Mn 0.000 0.000 0.000 1
Be1 Be 0.500 0.500 0.500 1
Os1 Os 0.000 0.000 0.500 1
W1 W 0.000 0.500 0.000 1
W2 W 0.500 0.000 0.000 1
```

***

# 2
Entry from the Alexandria database: a relaxed Er3PO6 crystal (PBE-GGA).

Properties
The space group is Cmc2_1 (36). Its size of the total moment is 0.00 μB/atom. Its calculated total energy is -7.98 eV per atom. For the raw formation energy, the calculation gives -3100 meV/atom.

Geometry as CIF:
```
data_Er3PO6
_chemical_formula_sum 'Er6 P2 O12'
_cell_length_a 6.974
_cell_length_b 6.974
_cell_length_c 5.853
_cell_angle_alpha 90.00
_cell_angle_beta 90.00
_cell_angle_gamma 103.08
_space_group_name_H-M_alt 'P 1'
_space_group_IT_number 1
loop_
_space_group_symop_operation_xyz
'x,y,z'
loop_
_atom_site_label
_atom_site_type_symbol
_atom_site_fract_x
_atom_site_fract_y
_atom_site_fract_z
_atom_site_occupancy
Er1 Er 0.093 0.907 0.500 1
Er2 Er 0.195 0.414 0.469 1
Er3 Er 0.414 0.195 0.969 1
Er4 Er 0.586 0.805 0.469 1
Er5 Er 0.805 0.586 0.969 1
Er6 Er 0.907 0.093 0.000 1
P1 P 0.328 0.672 0.913 1
P2 P 0.672 0.328 0.413 1
O1 O 0.105 0.601 0.809 1
O2 O 0.154 0.174 0.736 1
O3 O 0.174 0.154 0.236 1
O4 O 0.276 0.724 0.393 1
O5 O 0.399 0.895 0.809 1
O6 O 0.453 0.547 0.746 1
O7 O 0.547 0.453 0.246 1
O8 O 0.601 0.105 0.309 1
O9 O 0.724 0.276 0.893 1
O10 O 0.826 0.846 0.736 1
O11 O 0.846 0.826 0.236 1
O12 O 0.895 0.399 0.309 1
```

***

# 3
Entry from the Alexandria database: a relaxed TbErCdNi crystal (PBE-GGA).

Properties
The space group is P4mm (99). Its size of the total moment is 0.00 μB/atom. Its calculated total energy is -4.35 eV per atom. Its energy relative to the elements is -0.3736 eV/atom.

Geometry as CIF:
```
data_TbErCdNi
_chemical_formula_sum 'Tb1 Er1 Cd1 Ni1'
_cell_length_a 3.441
_cell_length_b 3.441
_cell_length_c 7.617
_cell_angle_alpha 90.00
_cell_angle_beta 90.00
_cell_angle_gamma 90.00
_space_group_name_H-M_alt 'P 1'
_space_group_IT_number 1
loop_
_space_group_symop_operation_xyz
'x,y,z'
loop_
_atom_site_label
_atom_site_type_symbol
_atom_site_fract_x
_atom_site_fract_y
_atom_site_fract_z
_atom_site_occupancy
Tb1 Tb 0.000 0.000 0.000 1
Er1 Er 0.000 0.000 0.577 1
Cd1 Cd 0.500 0.500 0.293 1
Ni1 Ni 0.500 0.500 0.781 1
```

***

Which D(E_F) belongs to each record? In order, 4.4; 0.0; 2.2 states/eV/f.u..